Entry 1:
DFT (PBE) results for crystalline CaCuTe2O at its relaxed geometry.

Values from the calculation:
raw total energy: -3.9631 eV per atom
ΔE_f (raw): -239 kJ/mol of formula units

Unit cell a=4.9896 b=4.4377 c=4.9896 alpha=90.00 beta=90.00 gamma=90.00
Sites, in units of the cell vectors:
Ca 0.0000 0.5000 0.0000
Te 0.0000 0.0000 0.5000
Te 0.5000 0.0000 0.0000
O 0.0000 0.0000 0.0000
Cu 0.5000 0.5000 0.5000

***

Entry 2:
DFT (PBE) results for crystalline NdDy2MgHg4 at its relaxed geometry.

Values from the calculation:
raw total energy: -2.5431 eV per atom

Unit cell a=5.1410 b=5.1410 c=9.3474 alpha=74.04 beta=74.04 gamma=60.00
Sites, in units of the cell vectors:
Nd 0.0000 0.0000 0.0000
Dy 0.7571 0.7571 0.7288
Dy 0.2429 0.2429 0.2712
Mg 0.5000 0.5000 0.5000
Hg 0.3800 0.3800 0.8602
Hg 0.8737 0.8737 0.3788
Hg 0.1263 0.1263 0.6212
Hg 0.6200 0.6200 0.1398

***

Entry 3:
DFT (PBE) results for crystalline YHfB2As at its relaxed geometry.

Values from the calculation:
raw total energy: -4.9287 eV per atom

Unit cell a=4.4111 b=5.9571 c=4.4111 alpha=90.00 beta=90.00 gamma=90.00
Sites, in units of the cell vectors:
Y 0.0000 0.0000 0.0000
As 0.5000 0.5000 0.5000
B 0.0000 0.0000 0.5000
B 0.5000 0.0000 0.0000
Hf 0.0000 0.5000 0.0000